1.
# LaMg2CuP

Crystalline LaMg2CuP at its relaxed geometry (PBE, the Alexandria database).

Cell: 4.731 4.731 4.946 Å, 90.00 90.00 90.00°
Positions (direct):
La1 0.000 0.000 0.000
Mg1 0.000 0.500 0.500
Mg2 0.500 0.000 0.500
Cu1 0.500 0.500 0.500
P1 0.500 0.500 0.000

Calculated values
Calculated density (g/cm³): 4.231
N(E_F) (states/eV/f.u.): 3.48
Volume (A^3/atom): 22.14
E (eV/cell): -18.23
Total magnetic moment (μB/cell): 0.000

***

2.
# LaTm2MgCd4

Crystalline LaTm2MgCd4 at its relaxed geometry (PBE, the Alexandria database).

Cell: 9.450 9.450 9.450 Å, 31.71 31.71 31.71°
Positions (direct):
La1 0.000 0.000 0.000
Tm1 0.243 0.243 0.243
Tm2 0.757 0.757 0.757
Mg1 0.500 0.500 0.500
Cd1 0.127 0.127 0.127
Cd2 0.384 0.384 0.384
Cd3 0.616 0.616 0.616
Cd4 0.873 0.873 0.873

Calculated values
Calculated density (g/cm³): 7.626
N(E_F) (states/eV/f.u.): 5.88
Volume (A^3/atom): 25.88
E (eV/cell): -21.17
Total magnetic moment (μB/cell): 0.000

***

3.
# SrTl2W

Crystalline SrTl2W at its relaxed geometry (PBE, the Alexandria database).

Cell: 5.707 5.707 3.152 Å, 90.00 90.00 109.26°
Positions (direct):
Sr1 0.000 0.000 0.000
Tl1 0.000 0.500 0.500
Tl2 0.500 0.000 0.500
W1 0.500 0.500 0.000

Calculated values
Calculated density (g/cm³): 11.653
N(E_F) (states/eV/f.u.): 4.24
Offset from the most stable computed form (eV per atom): 0.245
Volume (A^3/atom): 24.23
E (eV/cell): -15.96
Total magnetic moment (μB/cell): 0.399

***

4.
# Rb2SrLiPt

Crystalline Rb2SrLiPt at its relaxed geometry (PBE, the Alexandria database).

Cell: 7.204 7.204 5.694 Å, 90.00 90.00 90.00°
Positions (direct):
Rb1 0.000 0.500 0.000
Rb2 0.500 0.000 0.000
Sr1 0.000 0.000 0.000
Li1 0.000 0.000 0.500
Pt1 0.500 0.500 0.500

Calculated values
Calculated density (g/cm³): 2.588
N(E_F) (states/eV/f.u.): 4.69
Volume (A^3/atom): 59.10
E (eV/cell): -6.03
Total magnetic moment (μB/cell): 0.950